Tb2HoSe4 (PBE, optimized geometry); space-group type = C2/m (12); formation energy without anion corrections = -1.8260 eV/atom; total energy = -5.7941 eV/atom
1.0
-0.042 2.598 -3.181
-1.401 -5.469 -4.447
-5.818 2.550 4.811
Tb Se Ho
2 4 1
direct
0.733 0.743 0.466
0.267 0.257 0.534
0.634 0.278 0.268
0.366 0.722 0.732
0.122 0.803 0.243
0.878 0.197 0.757
0.000 0.000 0.000